The following is a DFT calculation (GGA-PBE) of an optimized crystal structure of HoHfAl2.

E_form, eV/atom: -0.094
Energy, eV per atom: -5.598
Crystal system: trigonal

Unit cell a=3.2950 b=3.2950 c=28.1417 alpha=90.00 beta=90.00 gamma=120.00
Space group R-3m (No. 166, hexagonal axes)
Asymmetric unit:
Ho 0.0000 0.0000 0.0000 x3
Hf 0.0000 0.0000 0.5000 x3
Al 0.0000 0.0000 0.2457 x6